DFT (GGA-PBE) results for a relaxed structure of NbFe2W.

Summary:
The calculation puts the distance to the lowest polymorph of the same formula at 1 meV per atom.

Cell lengths 4.3068, 4.3068, 4.3068 Å; angles 60.00, 60.00, 60.00 degrees
Last column: nearest neighbours and their distance in Å.
Fractional coordinates of all 4 atoms:
Fe  0.7500  0.7500  0.7500  4 W 2.64, 4 Nb 2.64
Fe  0.2500  0.2500  0.2500  4 Nb 2.64, 4 W 2.64
Nb  0.0000  0.0000  0.0000  8 Fe 2.64
W  0.5000  0.5000  0.5000  8 Fe 2.64

DFT (GGA-PBE) results for a relaxed structure of AlPAu3.

Summary:
The calculation puts the distance to the lowest polymorph of the same formula at 0 meV per atom.

Cell lengths 4.7973, 4.7973, 4.7973 Å; angles 90.00, 90.00, 90.00 degrees
Last column: nearest neighbours and their distance in Å.
Fractional coordinates of all 5 atoms:
P  0.0000  0.0000  0.0000  6 Au 2.40
Au  0.0000  0.0000  0.5000  2 P 2.40
Au  0.5000  0.0000  0.0000  2 P 2.40
Au  0.0000  0.5000  0.0000  2 P 2.40
Al  0.5000  0.5000  0.5000  12 Au 3.39

DFT (GGA-PBE) results for a relaxed structure of Er2Ga3Ir.

Summary:
The final energy comes out at -31.56 eV per cell.

Cell lengths 4.2927, 5.5932, 5.7455 Å; angles 76.43, 68.06, 67.43 degrees
Last column: nearest neighbours and their distance in Å.
Fractional coordinates of all 6 atoms:
Er  0.4514  0.7986  0.2987  3 Ir 2.99-3.05, 8 Ga 3.01-3.23
Er  0.5490  0.2136  0.6883  9 Ga 3.01-3.29, 2 Ir 3.02
Ir  0.1589  0.3771  0.3050  4 Ga 2.54-2.75
Ga  0.8423  0.6209  0.6945  1 Ir 2.54, 3 Ga 2.57-2.82
Ga  0.8329  0.2281  0.1061  2 Ir 2.55, 2 Ga 2.73-2.82
Ga  0.1655  0.7617  0.9073  3 Ga 2.57-2.73, 1 Ir 2.75

V? In order: 14.12; 22.08; 19.58 Å³/atom.